First-principles (PBE) data for a geometry-optimized La3BeC2N6 structure, as listed in Alexandria via LeMat-Bulk.

ΔE_f (raw), eV per atom: -0.65

```
data_La3BeC2N6
_cell_length_a 5.2559
_cell_length_b 5.2559
_cell_length_c 6.5296
_cell_angle_alpha 90.00
_cell_angle_beta 90.00
_cell_angle_gamma 120.00
_space_group_name_H-M_alt 'P -3 m 1'
_space_group_IT_number 164
_space_group_name_Hall '-P 3 2"'
loop_
_atom_site_label
_atom_site_type_symbol
_atom_site_fract_x
_atom_site_fract_y
_atom_site_fract_z
_atom_site_occupancy
La1 La 0.0000 0.0000 0.0000 1
La2 La 0.3333 0.6667 0.6681 1
Be1 Be 0.0000 0.0000 0.5000 1
C1 C 0.3333 0.6667 0.2817 1
N1 N 0.1814 0.3627 0.2957 1
```

First-principles (PBE) data for a geometry-optimized LaBeC2O8 structure, as listed in Alexandria via LeMat-Bulk.

ΔE_f (raw), eV per atom: -1.46

```
data_LaBeC2O8
_cell_length_a 8.0120
_cell_length_b 4.2837
_cell_length_c 7.0206
_cell_angle_alpha 90.00
_cell_angle_beta 105.35
_cell_angle_gamma 90.00
_space_group_name_H-M_alt 'C 1 2/m 1'
_space_group_IT_number 12
_space_group_name_Hall '-C 2y'
loop_
_atom_site_label
_atom_site_type_symbol
_atom_site_fract_x
_atom_site_fract_y
_atom_site_fract_z
_atom_site_occupancy
La1 La 0.0000 0.0000 0.0000 1
Be1 Be 0.0000 0.5000 0.5000 1
C1 C 0.2005 0.0000 0.6997 1
O1 O 0.0797 0.2424 0.6960 1
O2 O 0.1766 0.5000 0.1235 1
O3 O 0.2390 0.5000 0.4686 1
```

First-principles (PBE) data for a geometry-optimized La2BePbC structure, as listed in Alexandria via LeMat-Bulk.

ΔH_f (0 K), eV per formula unit: -1.23

```
data_La2BePbC
_cell_length_a 5.6293
_cell_length_b 5.6293
_cell_length_c 3.5803
_cell_angle_alpha 90.00
_cell_angle_beta 90.00
_cell_angle_gamma 90.00
_space_group_name_H-M_alt 'P 4/m m m'
_space_group_IT_number 123
_space_group_name_Hall '-P 4 2'
loop_
_atom_site_label
_atom_site_type_symbol
_atom_site_fract_x
_atom_site_fract_y
_atom_site_fract_z
_atom_site_occupancy
La1 La 0.0000 0.5000 0.0000 1
Be1 Be 0.0000 0.0000 0.5000 1
Pb1 Pb 0.5000 0.5000 0.5000 1
C1 C 0.0000 0.0000 0.0000 1
```

Looking at size of the total moment for the records above, in order, we have 0.000 0.937 0.000 μB/f.u..